## Pu2InRh2 (PBE)

Data for crystalline Pu2InRh2 at its relaxed geometry.

Unit cell a=7.5237 b=7.5237 c=3.7535 alpha=90.00 beta=90.00 gamma=90.00
Fractional positions:
In 0.0000 0.0000 0.0000
In 0.5000 0.5000 0.0000
Rh 0.8606 0.3606 0.0000
Rh 0.1394 0.6394 0.0000
Rh 0.6394 0.8606 0.0000
Rh 0.3606 0.1394 0.0000
Pu 0.6645 0.1645 0.5000
Pu 0.1645 0.3355 0.5000
Pu 0.8355 0.6645 0.5000
Pu 0.3355 0.8355 0.5000

Calculated values
- energy of formation from the pure elements (eV/f.u.) = -2.47
- total moment (μB per formula unit) = 9.9


## Rb4Mo (PBE)

Data for crystalline Rb4Mo at its relaxed geometry.

Unit cell a=7.3915 b=7.3915 c=7.3915 alpha=90.00 beta=90.00 gamma=90.00
Fractional positions:
Mo 0.5000 0.5000 0.5000
Rb 0.0000 0.0000 0.0000
Rb 0.5000 0.0000 0.5000
Rb 0.0000 0.5000 0.5000
Rb 0.5000 0.5000 0.0000

Calculated values
- energy of formation from the pure elements (eV/f.u.) = 4.94
- total moment (μB per formula unit) = 5.4


## CaAuSe2 (PBE)

Data for crystalline CaAuSe2 at its relaxed geometry.

Unit cell a=3.8591 b=3.8591 c=6.0791 alpha=90.00 beta=90.00 gamma=90.00
Fractional positions:
Ca 0.5000 0.5000 0.7500
Au 0.5000 0.5000 0.2500
Se 0.0000 0.0000 0.9975
Se 0.0000 0.0000 0.5025

Calculated values
- energy above the most stable polymorph in this dataset (meV/atom) = 371
- total moment (μB per formula unit) = 0.0


## CrCoNi2 (PBE)

Data for crystalline CrCoNi2 at its relaxed geometry.

Unit cell a=4.0419 b=4.3774 c=4.9102 alpha=90.02 beta=90.00 gamma=90.00
Fractional positions:
Cr 0.2500 0.3479 0.7499
Cr 0.7500 0.6521 0.2501
Co 0.2500 0.3445 0.2499
Co 0.7500 0.6555 0.7501
Ni 0.2500 0.8416 0.5003
Ni 0.7500 0.1584 0.4997
Ni 0.2500 0.8415 0.0003
Ni 0.7500 0.1585 0.9997

Calculated values
- energy of formation from the pure elements (eV/f.u.) = 0.08
- total moment (μB per formula unit) = 0.1


## CaY4Zn5 (PBE)

Data for crystalline CaY4Zn5 at its relaxed geometry.

Unit cell a=3.5983 b=3.5983 c=18.0177 alpha=90.00 beta=90.00 gamma=90.00
Fractional positions:
Ca 0.0000 0.0000 0.0000
Y 0.0000 0.0000 0.2039
Y 0.0000 0.0000 0.4013
Y 0.0000 0.0000 0.5987
Y 0.0000 0.0000 0.7961
Zn 0.5000 0.5000 0.1093
Zn 0.5000 0.5000 0.3022
Zn 0.5000 0.5000 0.5000
Zn 0.5000 0.5000 0.6978
Zn 0.5000 0.5000 0.8907

Calculated values
- energy of formation from the pure elements (eV/f.u.) = -3.39
- total moment (μB per formula unit) = 0.0


## HoHfPd5 (PBE)

Data for crystalline HoHfPd5 at its relaxed geometry.

Unit cell a=4.0612 b=4.0612 c=7.8606 alpha=90.00 beta=90.00 gamma=90.00
Fractional positions:
Ho 0.0000 0.0000 0.5000
Hf 0.5000 0.5000 0.0000
Pd 0.0000 0.5000 0.7745
Pd 0.0000 0.5000 0.2255
Pd 0.5000 0.0000 0.7745
Pd 0.5000 0.0000 0.2255
Pd 0.5000 0.5000 0.5000

Calculated values
- energy of formation from the pure elements (eV/f.u.) = -4.79
- total moment (μB per formula unit) = 0.0


## Ti2Pd7Au3 (PBE)

Data for crystalline Ti2Pd7Au3 at its relaxed geometry.

Unit cell a=2.9256 b=4.6052 c=14.7469 alpha=92.72 beta=90.00 gamma=90.00
Fractional positions:
Ti 0.5000 0.7178 0.2917
Ti 0.5000 0.2822 0.7083
Pd 0.5000 0.7429 0.4536
Pd 0.5000 0.2571 0.5464
Pd 0.0000 0.6930 0.1540
Pd 0.0000 0.0000 0.0000
Pd 0.0000 0.3070 0.8460
Pd 0.5000 0.8031 0.8105
Pd 0.5000 0.1969 0.1895
Au 0.5000 0.5000 0.0000
Au 0.0000 0.2297 0.3666
Au 0.0000 0.7703 0.6334

Calculated values
- energy of formation from the pure elements (eV/f.u.) = -2.75
- total moment (μB per formula unit) = 0.0


## RbHf3Zn (PBE)

Data for crystalline RbHf3Zn at its relaxed geometry.

Unit cell a=5.0255 b=5.0255 c=5.0255 alpha=90.00 beta=90.00 gamma=90.00
Fractional positions:
Zn 0.5000 0.5000 0.5000
Hf 0.0000 0.5000 0.0000
Hf 0.0000 0.0000 0.5000
Hf 0.5000 0.0000 0.0000
Rb 0.0000 0.0000 0.0000

Calculated values
- energy of formation from the pure elements (eV/f.u.) = 11.85
- energy above the most stable polymorph in this dataset (meV/atom) = 1221
- total moment (μB per formula unit) = 0.0


## TiAgAs (PBE)

Data for crystalline TiAgAs at its relaxed geometry.

Unit cell a=3.4378 b=3.4378 c=10.0416 alpha=99.18 beta=99.18 gamma=89.91
Fractional positions:
Ag 0.2940 0.2940 0.5797
Ag 0.7060 0.7060 0.4203
Ti 0.6982 0.6982 0.9049
Ti 0.3018 0.3018 0.0951
As 0.1587 0.1587 0.8229
As 0.8413 0.8413 0.1771

Calculated values
- energy of formation from the pure elements (eV/f.u.) = -1.21
- total moment (μB per formula unit) = 0.0


## AgPtS2 (PBE)

Data for crystalline AgPtS2 at its relaxed geometry.

Unit cell a=3.6359 b=3.6358 c=14.5460 alpha=90.00 beta=90.00 gamma=120.00
Fractional positions:
Ag 0.6667 0.3334 0.7500
Ag 0.3333 0.6667 0.2500
Pt 0.0000 0.0000 0.5000
Pt 0.0000 0.0000 0.0000
S 0.6667 0.3333 0.9154
S 0.3333 0.6667 0.4154
S 0.3333 0.6667 0.0846
S 0.6667 0.3333 0.5846

Calculated values
- E_tot (eV/atom) = -4.4243
- total moment (μB per formula unit) = 0.0


## La3Nd2Ho6Sc (PBE)

Data for crystalline La3Nd2Ho6Sc at its relaxed geometry.

Unit cell a=6.2068 b=6.2068 c=11.8360 alpha=95.02 beta=95.02 gamma=120.03
Fractional positions:
La 0.1671 0.8329 0.5000
La 0.8329 0.1671 0.5000
La 0.5000 0.5000 0.5000
Nd 0.3338 0.6662 0.0000
Nd 0.6662 0.3338 0.0000
Ho 0.9191 0.5890 0.7552
Ho 0.7509 0.7509 0.2453
Ho 0.0809 0.4110 0.2448
Ho 0.5890 0.9191 0.7552
Ho 0.2491 0.2491 0.7547
Ho 0.4110 0.0809 0.2448
Sc 0.0000 0.0000 0.0000

Calculated values
- energy of formation from the pure elements (eV/f.u.) = 0.34
- total moment (μB per formula unit) = 0.0


## BaSr4Ac2 (PBE)

Data for crystalline BaSr4Ac2 at its relaxed geometry.

Unit cell a=4.1849 b=4.1849 c=24.3528 alpha=85.07 beta=85.07 gamma=60.00
Fractional positions:
Ba 0.0000 0.0000 0.0000
Sr 0.3836 0.3836 0.8492
Sr 0.0988 0.0988 0.7036
Sr 0.6164 0.6164 0.1508
Sr 0.9012 0.9012 0.2964
Ac 0.1877 0.1877 0.4369
Ac 0.8123 0.8123 0.5631

Calculated values
- energy of formation from the pure elements (eV/f.u.) = 0.23
- energy above the most stable polymorph in this dataset (meV/atom) = 0
- total moment (μB per formula unit) = 0.0